Computed, not measured: a crystal of KHgC3S3N3 relaxed with PBEsol at the SCAN level of DFT.

Properties
raw formation energy	-0.02	eV/atom
energy	-327.6	eV/cell

The structure in CIF format:
```
data_KHgC3S3N3
_chemical_formula_sum 'K2 Hg2 C6 S6 N6'
_symmetry_space_group_name_H-M 'P 1 21/m 1'
_symmetry_Int_Tables_number 11
_symmetry_space_group_name_Hall '-P 2yb'
_cell_length_a 10.972
_cell_length_b 4.021
_cell_length_c 11.364
_cell_angle_alpha 90.00
_cell_angle_beta 115.05
_cell_angle_gamma 90.00
loop_
_atom_site_label
_atom_site_type_symbol
_atom_site_fract_x
_atom_site_fract_y
_atom_site_fract_z
K1 K 0.206 0.250 0.092
Hg1 Hg 0.228 0.750 0.645
C1 C 0.034 0.750 0.782
C2 C 0.294 0.750 0.398
C3 C 0.477 0.250 0.855
S1 S 0.006 0.250 0.375
S2 S 0.316 0.250 0.825
S3 S 0.394 0.750 0.555
N1 N 0.061 0.750 0.894
N2 N 0.230 0.750 0.284
N3 N 0.408 0.750 0.121
```